<P>
HoLuSiGeOs PBE relaxed; total moment = 0.1 μB per cell; mass density = 10.70 g/cm3
1.0
5.297 -2.101 0.000
5.297 2.101 0.000
-4.765 0.000 8.791
Si Lu Ho Ge Os
2 2 2 2 2
direct
0.643 0.643 0.560 Si
0.357 0.357 0.440 Si
0.816 0.816 0.883 Lu
0.184 0.184 0.117 Lu
0.992 0.992 0.325 Ho
0.008 0.008 0.675 Ho
0.515 0.515 0.877 Ge
0.485 0.485 0.123 Ge
0.733 0.733 0.374 Os
0.267 0.267 0.626 Os

=====

<Q>
HoLuSiGeOs PBE relaxed; total moment = 0.0 μB per cell; mass density = 10.59 g/cm3
1.0
5.341 -2.134 0.000
5.341 2.134 0.000
-4.717 0.000 8.681
Lu Ho Os Si Ge
2 2 2 2 2
direct
0.181 0.181 0.109 Lu
0.819 0.819 0.891 Lu
0.993 0.993 0.318 Ho
0.007 0.007 0.682 Ho
0.726 0.726 0.363 Os
0.274 0.274 0.637 Os
0.495 0.495 0.122 Si
0.505 0.505 0.878 Si
0.642 0.642 0.563 Ge
0.358 0.358 0.437 Ge

=====

Least stable: <Q>

=====

<P>
Cu2Ag3 PBE relaxed; mass density = 9.60 g/cm3
1.0
5.897 -1.430 0.000
5.897 1.430 0.000
-1.670 0.000 9.244
Cu Ag
4 6
direct
0.690 0.690 0.101 Cu
0.902 0.902 0.701 Cu
0.099 0.099 0.285 Cu
0.010 0.010 0.010 Cu
0.206 0.206 0.607 Ag
0.592 0.592 0.810 Ag
0.309 0.309 0.904 Ag
0.789 0.789 0.389 Ag
0.500 0.500 0.498 Ag
0.403 0.403 0.194 Ag

=====

<Q>
Cu2Ag3 PBE relaxed; mass density = 9.61 g/cm3
1.0
-7.162 1.474 -0.994
-6.993 -2.357 -0.014
0.582 1.413 5.423
Ag Cu
6 4
direct
0.999 0.999 0.503 Ag
0.199 0.199 0.596 Ag
0.597 0.597 0.817 Ag
0.804 0.804 0.896 Ag
0.796 0.796 0.389 Ag
0.405 0.405 0.192 Ag
0.192 0.192 0.104 Cu
0.403 0.403 0.704 Cu
0.600 0.600 0.292 Cu
0.004 0.004 0.006 Cu

=====

Least stable: <Q>

=====

<P>
NdBePt PBE relaxed; total moment = 0.0 μB per cell; mass density = 9.57 g/cm3
1.0
0.000 3.115 3.115
3.115 0.000 3.115
3.115 3.115 0.000
Pt Nd Be
1 1 1
direct
0.750 0.750 0.750 Pt
0.250 0.250 0.250 Nd
0.000 0.000 0.000 Be

=====

<Q>
NdBePt PBE relaxed; total moment = 0.0 μB per cell; mass density = 8.41 g/cm3
1.0
0.732 -0.665 4.491
1.907 3.328 2.536
-2.531 2.263 3.102
Be Nd Pt
1 1 1
direct
0.250 0.250 0.250 Be
0.750 0.750 0.750 Nd
0.000 0.000 0.000 Pt

=====

Least stable: <P>